The following is a DFT calculation (PBE) of an optimized crystal structure of Sc2ReI.

Cell: 4.8800 4.8800 4.8800 Å, 60.00 60.00 60.00°
Element x y z (fractional)
1 Sc 0.2500 0.2500 0.2500
2 Sc 0.7500 0.7500 0.7500
3 Re 0.0000 0.0000 0.0000
4 I 0.5000 0.5000 0.5000

## Properties
ΔE_f (raw): 1.2 eV/f.u.
excess energy over the best structure of this formula in the dataset: 185 meV per atom
E: -6.377 eV per atom
V: 82 Å³/f.u.



The following is a DFT calculation (PBE) of an optimized crystal structure of Sc2ReI.

Cell: 9.5318 9.5318 9.5318 Å, 21.51 21.51 21.51°
Element x y z (fractional)
1 Sc 0.1028 0.1028 0.1028
2 Sc 0.8972 0.8972 0.8972
3 Re 0.5000 0.5000 0.5000
4 I 0.0000 0.0000 0.0000

## Properties
ΔE_f (raw): 0.4 eV/f.u.
excess energy over the best structure of this formula in the dataset: 0 meV per atom
E: -6.562 eV per atom
V: 102 Å³/f.u.